Compound: YMoP2O
Source: the Alexandria database
Functional: PBE with a Hubbard U
Structure: relaxed

Unit cell a=4.9326 b=4.9326 c=3.8225 alpha=90.00 beta=90.00 gamma=90.00
Each line ends with the local moment (μB).
Element x y z (fractional)
1 Y 0.5000 0.5000 0.5000  0.06
2 P 0.0000 0.5000 0.0000  -0.03
3 P 0.5000 0.0000 0.0000  -0.03
4 Mo 0.0000 0.0000 0.0000  1.13
5 O 0.0000 0.0000 0.5000  -0.07

Values from the calculation:
N(E_F) in states/eV per atom: 0.30
Crystal system: tetragonal
Symmetry: P4/mmm
Relative energy among the computed polymorphs in meV per atom: 0.0
M_tot in Bohr magnetons per cell: 1.09
Uncorrected energy in eV per atom: -6.554